Record 1
A geometry-optimized AlHgMo2Pt structure, computed with GGA-PBE.

Cell and atoms, written as extended XYZ:
```
5
Lattice="-1.5169 3.7942 2.6657 -3.5339 0.8700 -3.2492 -3.1270 -3.0633 2.5808" Properties=species:S:1:pos:R:3 pbc="T T T"
Hg -1.5635 -1.5316 1.2904
Al -4.0889 0.8005 0.9986
Mo -1.7669 0.4350 -1.6246
Mo -0.7584 1.8971 1.3328
Pt 0.0000 0.0000 0.0000
```

Computed properties:
Volume in Å³/atom: 24.191
Formation energy in kJ/mol of atoms: 141
M_tot in Bohr magnetons per cell: 3.109
Fermi-level density of states in states/eV/atom: 1.098

Record 2
A geometry-optimized La3Te5S12 structure, computed with GGA-PBE.

Cell and atoms, written as extended XYZ:
```
80
Lattice="-8.3937 -10.8012 -4.1281 9.8204 -4.8399 9.1814 -7.9350 10.0345 6.3647" Properties=species:S:1:pos:R:3 pbc="T T T"
S 0.3534 -6.2789 8.1499
S 2.0557 -7.2003 4.8171
S -5.0424 -7.8981 -1.3707
S 0.1733 3.5555 10.2067
S -1.4740 1.4160 8.2171
S -2.0276 -5.2035 6.1185
S -13.7310 -1.5704 2.4337
S -0.1994 -10.6194 6.8391
S -6.6816 -9.1622 1.2113
S -11.9381 -3.9917 1.0645
S -8.7981 -2.9583 7.5441
S 1.5469 -3.1657 8.5144
S -6.8617 0.6721 3.2681
S -2.6884 2.7617 4.0245
S -0.8892 -4.2751 10.5352
S -3.5148 -11.4502 2.5351
S -6.8973 -0.4815 8.6416
S -4.8574 3.2505 8.0145
S -5.0344 -7.0228 3.2008
S -5.6191 -1.3316 0.8828
S -8.5640 1.5936 6.6008
S -3.5927 -5.5931 0.5875
S -8.0552 -2.4410 2.9036
S -3.8199 -8.3684 7.3934
S -10.6255 -0.8339 5.7012
S -5.8349 -3.4671 5.1327
S -0.6734 -2.1396 6.2852
S -0.7297 0.5230 2.5743
S 2.2898 -2.6484 3.8738
S 7.2227 -4.0363 8.9843
S -4.4807 -0.4032 5.2994
S -3.4039 -2.5895 2.9952
S 4.1172 -4.7728 5.7167
S -8.0651 7.3177 6.1772
S -8.0147 -6.1677 1.9219
S 1.5567 -12.9244 5.2408
S -6.3090 5.0127 4.5788
S 0.3890 -5.1252 2.7764
S 5.4297 -1.6150 10.3534
S 1.5063 0.5610 9.4961
S -1.4659 2.2913 12.7886
S -1.6509 -8.8572 3.4034
S -5.7786 -6.1297 8.8437
S -6.5781 -4.9699 -0.8082
S -3.1044 -3.0172 8.4228
S 0.0697 -0.6368 12.2261
S -2.9935 5.8435 8.8828
S -2.9157 -0.0136 10.8304
Te -3.3752 1.7562 6.3889
Te 1.3630 -8.4771 7.0448
Te -7.8713 2.8704 4.3731
Te -8.1644 -0.3834 1.1183
Te -9.8488 -4.3895 2.6612
Te -12.0109 0.0742 3.6207
Te 4.9102 -2.4200 4.5907
Te -4.8239 -1.6006 9.8750
Te -7.1580 -4.9502 6.8998
Te -3.1332 -7.3630 5.0290
Te 0.0000 0.0000 0.0000
Te 0.9427 2.5973 7.7730
Te -1.6844 -4.0061 1.5429
Te -3.2542 -2.8034 5.7090
Te 5.5025 -5.6809 7.7973
Te 3.3405 -1.2172 8.7568
Te 0.6497 -0.6565 4.5182
Te 0.7133 -7.8206 2.5266
Te -3.9675 5.0172 3.1823
Te -4.1969 -5.4006 -2.0641
La -0.7417 -1.4089 9.3159
La -8.1007 -7.5475 -0.8733
La -5.5372 6.2200 7.3484
La -5.7666 -4.1978 2.1020
La -3.6045 -8.6616 1.1425
La -2.9038 3.0549 10.2754
La 1.5924 1.9407 12.2912
La -7.5147 -1.0399 5.6364
La 1.0063 -4.5668 5.7815
La -3.8465 0.4576 2.5024
La -0.9711 -11.8267 4.0695
La -2.6618 -6.0643 8.9155
```

Computed properties:
Uncorrected formation energy in eV/atom: -0.5434
Volume in Å³/atom: 28.071
M_tot in Bohr magnetons per cell: 0.000
Fermi-level density of states in states/eV/atom: 0.522

Record 3
A geometry-optimized Si3Cl structure, computed with GGA-PBE.

Cell and atoms, written as extended XYZ:
```
4
Lattice="3.6857 0.0000 0.0000 0.0000 5.0276 0.0262 0.0000 2.8632 4.1327" Properties=species:S:1:pos:R:3 pbc="T T T"
Cl 0.0000 0.0000 0.0000
Si 1.8429 2.4625 1.2979
Si 1.8429 5.4283 2.8610
Si 0.0000 3.9454 2.0795
```

Computed properties:
Uncorrected formation energy in eV/atom: 0.1511
Volume in Å³/atom: 19.076
Energy above the lowest structure with this stoichiometry in kJ/mol of formula units: 0.0
M_tot in Bohr magnetons per cell: 0.000
Fermi-level density of states in states/eV/atom: 0.308

What is the Fermi-level density of states in the third record?
0.308 states/eV/atom